Entry 1:
Material: KAuS2O8
Method: DFT, PBE-GGA
State: relaxed

## Properties
density	3.84	g/cm3
formation energy without anion corrections	-116.9	kJ per mole of atoms

a b c (Å): 6.8679 6.8679 9.6402
angles (deg): 66.82 66.82 67.64
Closest atoms and distances in Å follow each position.
Fractional coordinates of all 24 atoms:
O: 0.3863 0.2701 0.4921  1 S 1.56
O: 0.7299 0.6137 0.0079  1 S 1.56
S: 0.3222 0.2844 0.8587  4 O 1.44-1.56
O: 0.4518 0.8427 0.1820  1 S 1.44
O: 0.1525 0.1723 0.9141  1 S 1.45
Au: 0.5000 0.5000 0.0000  4 O 2.04-2.05
O: 0.5482 0.1573 0.8180  1 S 1.44
K: 0.0095 0.9905 0.7500  6 O 2.82-2.96
K: 0.9905 0.0095 0.2500  6 O 2.82-2.96
S: 0.6778 0.7156 0.1413  4 O 1.44-1.56
O: 0.8427 0.4518 0.6820  1 S 1.44
S: 0.2844 0.3222 0.3587  4 O 1.44-1.56
O: 0.8475 0.8277 0.0859  1 S 1.45
O: 0.5079 0.7207 0.7827  1 S 1.56
O: 0.8277 0.8475 0.5859  1 S 1.45
Au: 0.5000 0.5000 0.5000  4 O 2.04-2.05
O: 0.7207 0.5079 0.2827  1 S 1.56
O: 0.1723 0.1525 0.4141  1 S 1.45
O: 0.6137 0.7299 0.5079  1 S 1.56
O: 0.4921 0.2793 0.2173  1 S 1.56
O: 0.2701 0.3863 0.9921  1 S 1.56
S: 0.7156 0.6778 0.6413  4 O 1.44-1.56
O: 0.1573 0.5482 0.3180  1 S 1.44
O: 0.2793 0.4921 0.7173  1 S 1.56

Entry 2:
Material: CeTmSc2
Method: DFT, PBE-GGA
State: relaxed

## Properties
density of states at the Fermi level	1.683	states/eV per atom
density	6.07	g/cm3
energy above the most stable polymorph in this dataset	0.103	eV per formula unit

a b c (Å): 5.3647 5.3647 5.3647
angles (deg): 60.00 60.00 60.00
Closest atoms and distances in Å follow each position.
Fractional coordinates of all 4 atoms:
Tm: 0.5000 0.5000 0.5000  8 Sc 3.29
Sc: 0.2500 0.2500 0.2500  4 Ce 3.29, 4 Tm 3.29
Ce: 0.0000 0.0000 0.0000  8 Sc 3.29
Sc: 0.7500 0.7500 0.7500  4 Tm 3.29, 4 Ce 3.29

Entry 3:
Material: NaZrScF2
Method: DFT, PBE-GGA
State: relaxed

## Properties
density of states at the Fermi level	0.932	states/eV per atom
density	2.77	g/cm3
formation energy without anion corrections	-111.7	kJ per mole of atoms

a b c (Å): 4.3149 6.3506 4.3149
angles (deg): 90.00 90.00 90.00
Closest atoms and distances in Å follow each position.
Fractional coordinates of all 5 atoms:
Na: 0.5000 0.5000 0.5000  4 Sc 3.05
F: 0.5000 0.0000 0.0000  2 Zr 2.16
F: 0.0000 0.0000 0.5000  2 Zr 2.16
Sc: 0.0000 0.5000 0.0000  4 Na 3.05, 2 Zr 3.18
Zr: 0.0000 0.0000 0.0000  4 F 2.16

Entry 4:
Material: LaH2Rh
Method: DFT, PBE-GGA
State: relaxed

## Properties
DFT total energy	-20.65	eV per cell
density of states at the Fermi level	0.443	states/eV per atom
density	7.45	g/cm3

a b c (Å): 3.3054 5.9397 5.2697
angles (deg): 137.06 128.19 56.15
Closest atoms and distances in Å follow each position.
Fractional coordinates of all 4 atoms:
H: 0.1317 0.1468 0.2749  1 H 1.83, 2 Rh 1.89
H: 0.8684 0.8712 0.7251  1 H 1.83, 2 Rh 1.89
Rh: 0.5000 0.0090 0.0000  4 H 1.89
La: 0.5000 0.5090 0.0000  6 H 2.42-2.63